Density functional theory data (GGA+U) for crystalline Tl2NiF4 at its relaxed geometry.

Results
DFT total energy: -4.071 eV/atom

POSCAR file:
```
Tl2NiF4
1.0
-2.056 2.056 7.137
2.056 -2.056 7.137
2.056 2.056 -7.137
Tl Ni F
2 1 4
Cartesian
0.000 0.000 2.119 Tl
0.000 0.000 12.155 Tl
0.000 0.000 7.137 Ni
2.056 0.000 0.000 F
0.000 0.000 5.121 F
0.000 2.056 0.000 F
0.000 0.000 9.153 F
```